[1]
Pm6BrO8 | PBE | relaxed

It has space group R-3 (No. 148, hexagonal axes), with a = 6.7823 Å, b = 6.7823 Å, c = 18.9091 Å, α = 90.00°, β = 90.00° and γ = 120.00°. Symmetry generates all atoms from Pm at (0.0096, 0.6428, 0.0903), Br at (0.0000, 0.0000, 0.0000), O at (0.0000, 0.0000, 0.3360) and O at (0.0052, 0.6901, 0.8813).

The total energy is -7.756 eV/atom. The calculation puts the uncorrected formation energy at -299.1 kJ/mol of atoms.



[2]
Pm2Br3O | PBE | relaxed

It has space group C2/m (No. 12), with a = 18.4076 Å, b = 4.0766 Å, c = 11.5809 Å, α = 90.00°, β = 124.15° and γ = 90.00°. Symmetry generates all atoms from Pm at (0.0732, 0.0000, 0.4579), Pm at (0.1331, 0.5000, 0.7804), Br at (0.0359, 0.5000, 0.2391), Br at (0.1687, 0.0000, 0.0091), Br at (0.2174, 0.5000, 0.6191) and O at (0.0805, 0.0000, 0.6664).

The total energy is -5.543 eV/atom. The calculation puts the uncorrected formation energy at -221.6 kJ/mol of atoms.



[3]
Pm2BrO2 | PBE | relaxed

It has space group P4/mmm (No. 123), with a = 3.8824 Å, b = 3.8824 Å, c = 6.5781 Å, α = 90.00°, β = 90.00° and γ = 90.00°. Symmetry generates all atoms from Pm at (0.0000, 0.0000, 0.2084), Br at (0.5000, 0.5000, 0.5000) and O at (0.0000, 0.5000, 0.0000).

The total energy is -6.501 eV/atom. The calculation puts the uncorrected formation energy at -220.2 kJ/mol of atoms. The calculation puts the energy above the most stable polymorph in this dataset at 1.869 eV per formula unit.



[4]
PmBrO | PBE | relaxed

It has space group P-1 (No. 2), with a = 3.7064 Å, b = 6.1602 Å, c = 6.7544 Å, α = 99.25°, β = 90.51° and γ = 107.44°. Symmetry generates all atoms from Pm at (0.0668, 0.1373, 0.3074), Br at (0.2458, 0.4852, 0.7444), O at (0.0000, 0.0000, 0.0000) and O at (0.5000, 0.0000, 0.5000).

The total energy is -6.264 eV/atom. The calculation puts the uncorrected formation energy at -238.3 kJ/mol of atoms.



[5]
PmBrO | PBE | relaxed

It has space group P-1 (No. 2), with a = 4.0462 Å, b = 5.8366 Å, c = 6.9128 Å, α = 70.07°, β = 89.95° and γ = 89.93°. Symmetry generates all atoms from Pm at (0.2500, 0.1337, 0.2809), Br at (0.2497, 0.7113, 0.1135) and O at (0.2502, 0.8357, 0.5894).

The total energy is -6.512 eV/atom. The calculation puts the uncorrected formation energy at -262.3 kJ/mol of atoms.



[6]
PmPuBrO4 | PBE | relaxed

It has space group C2/m (No. 12), with a = 12.6608 Å, b = 7.1389 Å, c = 6.6692 Å, α = 90.00°, β = 110.39° and γ = 90.00°. Symmetry generates all atoms from Pm at (0.2234, 0.0000, 0.0870), Pu at (0.1235, 0.5000, 0.2267), Br at (0.0262, 0.0000, 0.2636), O at (0.0749, 0.5000, 0.9109), O at (0.1651, 0.5000, 0.5236) and O at (0.2368, 0.3107, 0.1902).

The total energy is -8.252 eV/atom. The calculation puts the uncorrected formation energy at -236.7 kJ/mol of atoms.



[7]
PmPu2BrO4 | PBE | relaxed

It has space group P4/mmm (No. 123), with a = 3.9958 Å, b = 3.9958 Å, c = 9.1752 Å, α = 90.00°, β = 90.00° and γ = 90.00°. Symmetry generates all atoms from Pm at (0.0000, 0.0000, 0.0000), Pu at (0.5000, 0.5000, 0.2654), Br at (0.0000, 0.0000, 0.5000) and O at (0.0000, 0.5000, 0.1579).

The total energy is -9.741 eV/atom. The calculation puts the uncorrected formation energy at -277.5 kJ/mol of atoms.



[8]
PmRe2Br2O7 | PBE | relaxed

It has space group C2/m (No. 12), with a = 5.5247 Å, b = 5.5551 Å, c = 14.4368 Å, α = 90.00°, β = 93.93° and γ = 90.00°. Symmetry generates all atoms from Pm at (0.0000, 0.0000, 0.0000), Re at (0.0236, 0.5000, 0.1458), Br at (0.1273, 0.0000, 0.5668), O at (0.0000, 0.5000, 0.0000), O at (0.0584, 0.5000, 0.2641) and O at (0.2302, 0.2508, 0.8837).

The total energy is -7.175 eV/atom. The calculation puts the uncorrected formation energy at -147.9 kJ/mol of atoms.



[9]
Pm3RuBr2O6 | PBE | relaxed

It has space group C2/m (No. 12), with a = 11.6131 Å, b = 6.7269 Å, c = 5.8786 Å, α = 90.00°, β = 100.44° and γ = 90.00°. Symmetry generates all atoms from Pm at (0.0000, 0.0000, 0.0000), Pm at (0.2500, 0.2500, 0.5000), Ru at (0.0000, 0.5000, 0.5000), Br at (0.2268, 0.0000, 0.8827), O at (0.0533, 0.2652, 0.3030) and O at (0.1634, 0.5000, 0.6603).

The total energy is -6.655 eV/atom. The calculation puts the uncorrected formation energy at -186.9 kJ/mol of atoms.



[10]
PmRuBrO4 | PBE | relaxed

It has space group C2/m (No. 12), with a = 10.6964 Å, b = 7.3424 Å, c = 7.0614 Å, α = 90.00°, β = 104.93° and γ = 90.00°. Symmetry generates all atoms from Pm at (0.2285, 0.0000, 0.1136), Ru at (0.1353, 0.5000, 0.2747), Br at (0.0121, 0.0000, 0.7542), O at (0.0345, 0.5000, 0.7734), O at (0.1942, 0.3216, 0.1368) and O at (0.2116, 0.5000, 0.5273).

The total energy is -6.688 eV/atom. The calculation puts the uncorrected formation energy at -155.5 kJ/mol of atoms.



[11]
PmS2BrO8 | PBE | relaxed

It has space group P-3m1 (No. 164), with a = 5.7373 Å, b = 5.7373 Å, c = 8.1002 Å, α = 90.00°, β = 90.00° and γ = 120.00°. Symmetry generates all atoms from Pm at (0.0000, 0.0000, 0.0000), S at (0.3333, 0.6667, 0.7748), Br at (0.0000, 0.0000, 0.5000), O at (0.1931, 0.3862, 0.8395) and O at (0.3333, 0.6667, 0.5931).

The total energy is -6.043 eV/atom. The calculation puts the uncorrected formation energy at -146.1 kJ/mol of atoms.



[12]
Pm3SbBr2O6 | PBE | relaxed

It has space group C2/m (No. 12), with a = 11.9579 Å, b = 6.7568 Å, c = 5.8154 Å, α = 90.00°, β = 99.95° and γ = 90.00°. Symmetry generates all atoms from Pm at (0.0000, 0.0000, 0.0000), Pm at (0.2500, 0.2500, 0.5000), Sb at (0.0000, 0.5000, 0.5000), Br at (0.2205, 0.0000, 0.8816), O at (0.0570, 0.2633, 0.3014) and O at (0.1620, 0.5000, 0.6613).

The total energy is -6.424 eV/atom. The calculation puts the uncorrected formation energy at -206.0 kJ/mol of atoms.



- What is the formula in the first record?
  Pm6BrO8